DFT (PBE) results for a relaxed structure of MgCdW2.

Lattice parameters (Å, degrees): 2.7483 2.7483 9.2897 90.00 90.00 90.00
Last column: nearest neighbours and their distance in Å.
Element x y z (fractional)
1 Cd 0.5000 0.5000 0.2500  4 Cd 2.75, 8 W 3.05
2 Mg 0.5000 0.5000 0.7500  4 Mg 2.75, 8 W 3.01
3 W 0.0000 0.0000 0.9968  4 W 2.75, 4 Mg 3.01, 4 Cd 3.05
4 W 0.0000 0.0000 0.5032  4 W 2.75, 4 Mg 3.01, 4 Cd 3.05

## Properties
Offset from the most stable computed form = 0.283 eV/atom
Total moment = 0.00 μB/cell
DOS(E_F) = 1.7 states/eV per cell
Energy relative to the elements = 0.57 eV/atom